(1)
GaSn2H after structural relaxation, computed with GGA-PBE.

Output
For the uncorrected energy, the calculation gives -3.290 eV per atom.

Unit cell a=8.1707 b=8.1707 c=8.1707 alpha=145.02 beta=145.02 gamma=50.31
Element x y z (fractional)
Ga1 0.0000 0.0000 0.0000
Ga2 0.7500 0.2500 0.5000
Sn1 0.2005 0.6250 0.0755
Sn2 0.3750 0.4505 0.5755
Sn3 0.5495 0.1250 0.9245
Sn4 0.8750 0.7995 0.4245
H1 0.2500 0.7500 0.5000
H2 0.5000 0.5000 0.0000

=====

(2)
Zn2Fe2Ru after structural relaxation, computed with GGA-PBE.

Output
For the uncorrected energy, the calculation gives -5.453 eV per atom. The value obtained for the formation energy from the elements is 0.297 eV per atom.

Unit cell a=7.1035 b=7.1035 c=2.6812 alpha=90.00 beta=90.00 gamma=90.00
Element x y z (fractional)
Zn1 0.1799 0.3201 0.0000
Zn2 0.3201 0.8201 0.0000
Zn3 0.6799 0.1799 0.0000
Zn4 0.8201 0.6799 0.0000
Fe1 0.1163 0.6163 0.5000
Fe2 0.3837 0.1163 0.5000
Fe3 0.6163 0.8837 0.5000
Fe4 0.8837 0.3837 0.5000
Ru1 0.0000 0.0000 0.5000
Ru2 0.5000 0.5000 0.5000

=====

(3)
GaHgF2 after structural relaxation, computed with GGA-PBE.

Output
For the uncorrected energy, the calculation gives -3.179 eV per atom.

Unit cell a=9.1194 b=9.1194 c=9.1194 alpha=21.55 beta=21.55 gamma=21.55
Element x y z (fractional)
Ga1 0.0000 0.0000 0.0000
Hg1 0.5000 0.5000 0.5000
F1 0.3697 0.3697 0.3697
F2 0.6303 0.6303 0.6303

=====

(4)
GaCoB2 after structural relaxation, computed with GGA-PBE.

Output
For the uncorrected energy, the calculation gives -5.659 eV per atom. The value obtained for the formation energy from the elements is 0.213 eV per atom.

Unit cell a=7.6517 b=7.6517 c=7.6517 alpha=154.02 beta=154.02 gamma=37.07
Element x y z (fractional)
Ga1 0.3750 0.6250 0.7500
Ga2 0.6250 0.3750 0.2500
Co1 0.1250 0.8750 0.2500
Co2 0.8750 0.1250 0.7500
B1 0.0000 0.0000 0.0000
B2 0.0000 0.0000 0.5000
B3 0.0000 0.5000 0.0000
B4 0.5000 0.0000 0.5000

=====

(5)
MnSiSnIrS after structural relaxation, computed with GGA-PBE.

Output
For the uncorrected energy, the calculation gives -6.427 eV per atom.

Unit cell a=4.9628 b=3.1432 c=5.7355 alpha=90.00 beta=113.47 gamma=90.00
Element x y z (fractional)
Mn1 0.0000 0.0000 0.0000
Si1 0.3031 0.5000 0.9466
Sn1 0.9007 0.0000 0.4435
Ir1 0.3755 0.5000 0.3793
S1 0.6571 0.5000 0.8187

=====

(6)
Sr3MgTl4 after structural relaxation, computed with GGA-PBE.

Output
For the uncorrected energy, the calculation gives -2.218 eV per atom. The value obtained for the formation energy from the elements is -0.205 eV per atom.

Unit cell a=10.7816 b=10.7816 c=10.7816 alpha=158.07 beta=142.96 gamma=43.46
Element x y z (fractional)
Sr1 0.0000 0.0000 0.0000
Sr2 0.2745 0.7745 0.5000
Sr3 0.7255 0.2255 0.5000
Mg1 0.5000 0.5000 0.0000
Tl1 0.1161 0.3798 0.7363
Tl2 0.3565 0.6202 0.7363
Tl3 0.6435 0.3798 0.2637
Tl4 0.8839 0.6202 0.2637

=====

(7)
Sc2CuSe after structural relaxation, computed with GGA-PBE.

Output
For the uncorrected energy, the calculation gives -5.033 eV per atom.

Unit cell a=4.7592 b=4.7592 c=4.7592 alpha=60.00 beta=60.00 gamma=60.00
Element x y z (fractional)
Sc1 0.0000 0.0000 0.0000
Sc2 0.2500 0.2500 0.2500
Cu1 0.7500 0.7500 0.7500
Se1 0.5000 0.5000 0.5000

=====

(8)
Tm5OsPb2 after structural relaxation, computed with GGA-PBE.

Output
For the uncorrected energy, the calculation gives -5.133 eV per atom. The value obtained for the formation energy from the elements is -0.008 eV per atom.

Unit cell a=8.6165 b=8.6165 c=12.4703 alpha=90.00 beta=90.00 gamma=143.05
Element x y z (fractional)
Tm1 0.0743 0.9257 0.6085
Tm2 0.0743 0.9257 0.8915
Tm3 0.2932 0.7068 0.5716
Tm4 0.2932 0.7068 0.9284
Tm5 0.2942 0.7058 0.2500
Tm6 0.7058 0.2942 0.7500
Tm7 0.7068 0.2932 0.0716
Tm8 0.7068 0.2932 0.4284
Tm9 0.9257 0.0743 0.1085
Tm10 0.9257 0.0743 0.3915
Os1 0.1922 0.8078 0.7500
Os2 0.8078 0.1922 0.2500
Pb1 0.1208 0.8792 0.1233
Pb2 0.1208 0.8792 0.3767
Pb3 0.8792 0.1208 0.6233
Pb4 0.8792 0.1208 0.8767

=====

(9)
Ac2In12Cu7 after structural relaxation, computed with GGA-PBE.

Output
For the uncorrected energy, the calculation gives -3.460 eV per atom. The value obtained for the formation energy from the elements is -0.138 eV per atom.

Unit cell a=10.9740 b=10.9740 c=4.4368 alpha=90.00 beta=90.00 gamma=120.00
Element x y z (fractional)
Ac1 0.3333 0.6667 0.2582
Ac2 0.6667 0.3333 0.7418
In1 0.0538 0.4370 0.7499
In2 0.1133 0.2599 0.2491
In3 0.1466 0.8867 0.2491
In4 0.2599 0.1466 0.7509
In5 0.3832 0.9462 0.7499
In6 0.4370 0.3832 0.2501
In7 0.5630 0.6168 0.7499
In8 0.6168 0.0538 0.2501
In9 0.7401 0.8534 0.2491
In10 0.8534 0.1133 0.7509
In11 0.8867 0.7401 0.7509
In12 0.9462 0.5630 0.2501
Cu1 0.0000 0.0000 0.5000
Cu2 0.1223 0.7091 0.7568
Cu3 0.2909 0.4132 0.7568
Cu4 0.4132 0.1223 0.2432
Cu5 0.5868 0.8777 0.7568
Cu6 0.7091 0.5868 0.2432
Cu7 0.8777 0.2909 0.2432